# 1
A geometry-optimized MgAl2Cd structure, computed with PBE-GGA.

Results
The value obtained for the total magnetization is 0.000 μB/atom. Its formation energy from the elements is 0.22 eV/f.u. The space-group type is No. 139. The value obtained for the raw total energy is -2.443 eV/atom. The value obtained for the density of states at the Fermi level is 0.318 states/eV/atom. The value obtained for the mass density is 4.07 g/cm³.

a = 4.2137 Å, b = 4.2137 Å, c = 8.7678 Å
α = 90.00°, β = 90.00°, γ = 90.00°
Last column: nearest neighbours and their distance in Å.
Element x y z (fractional)
1 Mg 0.0000 0.0000 0.0000  4 Cd 2.98, 8 Al 3.04
2 Mg 0.5000 0.5000 0.5000  4 Cd 2.98, 8 Al 3.04
3 Al 0.0000 0.5000 0.2500  4 Al 2.98, 4 Cd 3.04, 4 Mg 3.04
4 Al 0.0000 0.5000 0.7500  4 Al 2.98, 4 Cd 3.04, 4 Mg 3.04
5 Al 0.5000 0.0000 0.2500  4 Al 2.98, 4 Cd 3.04, 4 Mg 3.04
6 Al 0.5000 0.0000 0.7500  4 Al 2.98, 4 Cd 3.04, 4 Mg 3.04
7 Cd 0.0000 0.0000 0.5000  4 Mg 2.98, 8 Al 3.04
8 Cd 0.5000 0.5000 0.0000  4 Mg 2.98, 8 Al 3.04

# 2
A geometry-optimized Ho2AgHg4 structure, computed with PBE-GGA.

Results
The value obtained for the total magnetization is 0.000 μB/atom. Its formation energy from the elements is -1.91 eV/f.u. The space-group type is No. 166. The value obtained for the raw total energy is -2.161 eV/atom. The value obtained for the density of states at the Fermi level is 0.517 states/eV/atom. The value obtained for the mass density is 12.19 g/cm³.

a = 7.8344 Å, b = 7.8344 Å, c = 7.8344 Å
α = 38.69°, β = 38.69°, γ = 38.69°
Last column: nearest neighbours and their distance in Å.
Element x y z (fractional)
1 Ho 0.2261 0.2261 0.2261  8 Hg 3.04-3.39, 3 Ag 3.26
2 Ho 0.7739 0.7739 0.7739  8 Hg 3.04-3.39, 3 Ag 3.26
3 Ag 0.5000 0.5000 0.5000  2 Hg 2.87
4 Hg 0.0832 0.0832 0.0832  4 Ho 3.04-3.10, 3 Hg 3.18
5 Hg 0.3676 0.3676 0.3676  1 Ag 2.87, 1 Ho 3.07, 3 Hg 3.18
6 Hg 0.6324 0.6324 0.6324  1 Ag 2.87, 1 Ho 3.07, 3 Hg 3.18
7 Hg 0.9168 0.9168 0.9168  4 Ho 3.04-3.10, 3 Hg 3.18

# 3
A geometry-optimized LaThSe2N structure, computed with PBE-GGA.

Results
The value obtained for the total magnetization is 0.000 μB/atom. The space-group type is No. 129. The value obtained for the raw total energy is -7.419 eV/atom. The value obtained for the density of states at the Fermi level is 0.352 states/eV/atom. The value obtained for the mass density is 6.86 g/cm³.

a = 4.1648 Å, b = 4.1648 Å, c = 15.1615 Å
α = 90.00°, β = 90.00°, γ = 90.00°
Last column: nearest neighbours and their distance in Å.
Element x y z (fractional)
1 La 0.2500 0.2500 0.1289  5 Se 2.78-3.01
2 La 0.7500 0.7500 0.8711  5 Se 2.78-3.01
3 Th 0.2500 0.2500 0.5747  4 N 2.37
4 Th 0.7500 0.7500 0.4253  4 N 2.37
5 Se 0.2500 0.2500 0.3121  1 La 2.78
6 Se 0.2500 0.2500 0.9121  5 La 3.01-3.29
7 Se 0.7500 0.7500 0.0879  5 La 3.01-3.29
8 Se 0.7500 0.7500 0.6879  1 La 2.78
9 N 0.2500 0.7500 0.5000  4 Th 2.37
10 N 0.7500 0.2500 0.5000  4 Th 2.37